1.
{
  "formula": "ReNiW2",
  "functional": "PBE",
  "state": "optimized geometry",
  "m_tot_mub_per_cell": 0.0,
  "crystal_system": "monoclinic",
  "dos_ef_per_ev_atom": 0.898,
  "dft_energy_ev_per_cell": -43.5,
  "lattice": [[2.661, 0.000, 0.000], [0.000, 4.342, 0.000], [-0.948, 0.000, 5.133]],
  "species": ["Re", "Ni", "W", "W"],
  "fractional_positions": [[0.000, 0.000, 0.000], [0.500, 0.000, 0.500], [0.243, 0.500, 0.745], [0.757, 0.500, 0.255]]
}

2.
{
  "formula": "BaZn2Te",
  "functional": "PBE",
  "state": "optimized geometry",
  "formation_energy_uncorrected_ev_per_atom": -0.370,
  "m_tot_mub_per_cell": 0.0,
  "crystal_system": "trigonal",
  "dos_ef_per_ev_atom": 0.086,
  "dft_energy_ev_per_cell": -27.3,
  "lattice": [[4.781, 0.000, 0.000], [-2.391, 4.141, 0.000], [0.000, 0.000, 18.731]],
  "species": ["Ba", "Ba", "Ba", "Zn", "Zn", "Zn", "Zn", "Zn", "Zn", "Te", "Te", "Te"],
  "fractional_positions": [[0.000, 0.000, 0.000], [0.333, 0.667, 0.667], [0.667, 0.333, 0.333], [0.000, 0.000, 0.234], [0.000, 0.000, 0.766], [0.333, 0.667, 0.433], [0.333, 0.667, 0.900], [0.667, 0.333, 0.100], [0.667, 0.333, 0.567], [0.000, 0.000, 0.500], [0.333, 0.667, 0.167], [0.667, 0.333, 0.833]]
}

3.
{
  "formula": "AcGa5Rh3",
  "functional": "PBE",
  "state": "optimized geometry",
  "m_tot_mub_per_cell": 0.0,
  "crystal_system": "orthorhombic",
  "dos_ef_per_ev_atom": 0.408,
  "dft_energy_ev_per_cell": -93.5,
  "lattice": [[2.010, -6.596, 0.000], [2.010, 6.596, 0.000], [0.000, 0.000, 12.731]],
  "species": ["Ac", "Ac", "Ga", "Ga", "Ga", "Ga", "Ga", "Ga", "Ga", "Ga", "Ga", "Ga", "Rh", "Rh", "Rh", "Rh", "Rh", "Rh"],
  "fractional_positions": [[0.167, 0.833, 0.750], [0.833, 0.167, 0.250], [0.000, 0.000, 0.000], [0.000, 0.000, 0.500], [0.203, 0.797, 0.061], [0.203, 0.797, 0.439], [0.445, 0.555, 0.651], [0.445, 0.555, 0.849], [0.555, 0.445, 0.151], [0.555, 0.445, 0.349], [0.797, 0.203, 0.561], [0.797, 0.203, 0.939], [0.130, 0.870, 0.250], [0.392, 0.608, 0.042], [0.392, 0.608, 0.458], [0.608, 0.392, 0.542], [0.608, 0.392, 0.958], [0.870, 0.130, 0.750]]
}

4.
{
  "formula": "Th7Si5Sb",
  "functional": "PBE",
  "state": "optimized geometry",
  "formation_energy_uncorrected_ev_per_atom": -0.433,
  "m_tot_mub_per_cell": 0.0,
  "crystal_system": "orthorhombic",
  "dos_ef_per_ev_atom": 0.797,
  "dft_energy_ev_per_cell": -88.8,
  "lattice": [[-3.057, 5.528, 5.079], [3.057, -5.528, 5.079], [3.057, 5.528, -5.079]],
  "species": ["Th", "Th", "Th", "Th", "Th", "Th", "Th", "Si", "Si", "Si", "Si", "Si", "Sb"],
  "fractional_positions": [[0.000, 0.000, 0.000], [0.367, 0.682, 0.685], [0.376, 0.376, 0.000], [0.450, 0.116, 0.334], [0.782, 0.116, 0.666], [0.882, 0.382, 0.500], [0.997, 0.682, 0.315], [0.151, 0.209, 0.538], [0.151, 0.613, 0.942], [0.390, 0.890, 0.500], [0.671, 0.209, 0.058], [0.671, 0.613, 0.462], [0.686, 0.686, 0.000]]
}

5.
{
  "formula": "Sm6PaTe12",
  "functional": "PBE",
  "state": "optimized geometry",
  "formation_energy_uncorrected_ev_per_atom": -1.199,
  "m_tot_mub_per_cell": 0.0,
  "crystal_system": "trigonal",
  "dos_ef_per_ev_atom": 0.707,
  "dft_energy_ev_per_cell": -98.3,
  "lattice": [[6.820, 3.938, 4.285], [-6.820, 3.938, 4.285], [0.000, -7.875, 4.285]],
  "species": ["Sm", "Sm", "Sm", "Sm", "Sm", "Sm", "Pa", "Te", "Te", "Te", "Te", "Te", "Te", "Te", "Te", "Te", "Te", "Te", "Te"],
  "fractional_positions": [[0.137, 0.308, 0.641], [0.308, 0.641, 0.137], [0.359, 0.863, 0.692], [0.641, 0.137, 0.308], [0.692, 0.359, 0.863], [0.863, 0.692, 0.359], [0.000, 0.000, 0.000], [0.023, 0.926, 0.672], [0.074, 0.328, 0.977], [0.179, 0.573, 0.429], [0.328, 0.977, 0.074], [0.427, 0.571, 0.821], [0.429, 0.179, 0.573], [0.571, 0.821, 0.427], [0.573, 0.429, 0.179], [0.672, 0.023, 0.926], [0.821, 0.427, 0.571], [0.926, 0.672, 0.023], [0.977, 0.074, 0.328]]
}

6.
{
  "formula": "HfNiPd6",
  "functional": "PBE",
  "state": "optimized geometry",
  "m_tot_mub_per_cell": 1.1,
  "crystal_system": "tetragonal",
  "dos_ef_per_ev_atom": 1.519,
  "dft_energy_ev_per_cell": -50.2,
  "lattice": [[5.589, 0.000, 0.000], [0.000, 5.589, 0.000], [0.000, 0.000, 3.944]],
  "species": ["Hf", "Ni", "Pd", "Pd", "Pd", "Pd", "Pd", "Pd"],
  "fractional_positions": [[0.000, 0.000, 0.000], [0.500, 0.500, 0.000], [0.000, 0.500, 0.000], [0.254, 0.254, 0.500], [0.254, 0.746, 0.500], [0.500, 0.000, 0.000], [0.746, 0.254, 0.500], [0.746, 0.746, 0.500]]
}